Mn3V2Si3O12 | PBE+U | optimized geometry

Structure (POSCAR):
```
Mn3V2Si3O12
1.0
-4.868 8.362 -3.777
-7.013 -6.722 3.677
6.388 2.880 7.667
O V Si Mn
48 8 12 12
direct
0.791 0.412 0.806 O
0.694 0.106 0.985 O
0.209 0.588 0.194 O
0.879 0.394 0.088 O
0.291 0.485 0.379 O
0.121 0.015 0.209 O
0.694 0.088 0.709 O
0.806 0.791 0.412 O
0.515 0.394 0.806 O
0.306 0.912 0.291 O
0.621 0.412 0.106 O
0.588 0.194 0.209 O
0.194 0.209 0.588 O
0.621 0.709 0.515 O
0.912 0.121 0.606 O
0.379 0.588 0.894 O
0.485 0.379 0.291 O
0.606 0.912 0.121 O
0.306 0.894 0.015 O
0.088 0.879 0.394 O
0.412 0.106 0.621 O
0.709 0.515 0.621 O
0.379 0.291 0.485 O
0.485 0.606 0.194 O
0.879 0.985 0.791 O
0.394 0.088 0.879 O
0.588 0.894 0.379 O
0.088 0.709 0.694 O
0.394 0.806 0.515 O
0.015 0.306 0.894 O
0.806 0.515 0.394 O
0.894 0.379 0.588 O
0.106 0.985 0.694 O
0.412 0.806 0.791 O
0.015 0.209 0.121 O
0.985 0.791 0.879 O
0.209 0.121 0.015 O
0.106 0.621 0.412 O
0.194 0.485 0.606 O
0.985 0.694 0.106 O
0.791 0.879 0.985 O
0.709 0.694 0.088 O
0.912 0.291 0.306 O
0.515 0.621 0.709 O
0.894 0.015 0.306 O
0.121 0.606 0.912 O
0.291 0.306 0.912 O
0.606 0.194 0.485 O
0.500 0.000 0.500 V
0.500 0.500 0.000 V
0.000 0.000 0.500 V
0.500 0.000 0.000 V
0.000 0.500 0.000 V
0.000 0.000 0.000 V
0.500 0.500 0.500 V
0.000 0.500 0.500 V
0.625 0.375 0.250 Si
0.750 0.875 0.125 Si
0.250 0.125 0.875 Si
0.125 0.750 0.875 Si
0.875 0.250 0.125 Si
0.250 0.625 0.375 Si
0.625 0.750 0.375 Si
0.375 0.250 0.625 Si
0.375 0.625 0.750 Si
0.125 0.875 0.250 Si
0.875 0.125 0.750 Si
0.750 0.375 0.625 Si
0.750 0.625 0.875 Mn
0.250 0.875 0.625 Mn
0.125 0.250 0.375 Mn
0.875 0.750 0.625 Mn
0.875 0.625 0.250 Mn
0.250 0.375 0.125 Mn
0.375 0.750 0.125 Mn
0.125 0.375 0.750 Mn
0.625 0.250 0.875 Mn
0.375 0.125 0.250 Mn
0.750 0.125 0.375 Mn
0.625 0.875 0.750 Mn
```

## Properties
For the uncorrected energy, the calculation gives -631.62 eV/cell. Its crystal system is cubic.